[1]
Computed, not measured: crystalline EuDyHg at its relaxed geometry at the GGA-PBE level of DFT.

Cell lengths 5.2349, 5.2349, 3.9319 Å; angles 90.00, 90.00, 120.00 degrees
With the nearest neighbours (Å) after each atom.
Space group P3m1 (No. 156)
Symmetry-distinct sites (fractional):
Eu1 0.0000 0.0000 0.0000  6 Hg 3.44-3.79, 6 Dy 3.56-3.66
Dy1 0.3333 0.6667 0.5233  3 Hg 3.05
Hg1 0.6667 0.3333 0.4177  3 Dy 3.05

## Properties
The value obtained for the formation energy is -0.190 eV per atom. The value obtained for the total energy is -15.7 eV/f.u. The calculation puts the magnetization at 2.4092 μB/atom. The value obtained for the energy above the most stable polymorph in this dataset is 105 meV per atom.

[2]
Computed, not measured: crystalline RbZnCl3 at its relaxed geometry at the GGA-PBE level of DFT.

Cell lengths 7.2708, 16.6390, 6.7096 Å; angles 90.00, 90.00, 90.00 degrees
With the nearest neighbours (Å) after each atom.
Space group Cmcm (No. 63)
Symmetry-distinct sites (fractional):
Rb1 0.0000 0.1650 0.2500  2 Cl 3.33
Zn1 0.0000 0.4030 0.2500  4 Cl 2.24-2.33
Cl1 0.0000 0.5000 0.0000  2 Zn 2.33
Cl2 0.2415 0.1698 0.7500  1 Zn 2.24

## Properties
Its uncorrected formation energy is -1.437 eV per atom. The value obtained for the total energy is -15.0 eV/f.u. The calculation puts the magnetization at 0.0000 μB/atom.

[3]
Computed, not measured: crystalline Hf3ScRh at its relaxed geometry at the GGA-PBE level of DFT.

Cell lengths 10.2804, 7.6023, 7.0064 Å; angles 90.00, 124.59, 90.00 degrees
With the nearest neighbours (Å) after each atom.
Space group C2/m (No. 12)
Symmetry-distinct sites (fractional):
Hf1 0.0494 0.0000 0.3211  1 Rh 2.62
Hf2 0.1817 0.2956 0.7025  2 Rh 2.61-2.76
Sc1 0.0746 0.5000 0.2666  2 Rh 2.71-2.73, 2 Hf 3.02
Rh1 0.2397 0.5000 0.0690  5 Hf 2.61-2.76, 2 Sc 2.71-2.73

## Properties
The value obtained for the formation energy is -0.197 eV per atom. The value obtained for the total energy is -44.5 eV/f.u. The calculation puts the magnetization at 0.0000 μB/atom. The value obtained for the energy above the most stable polymorph in this dataset is 0 meV per atom.

[4]
Computed, not measured: crystalline CaTeC at its relaxed geometry at the GGA-PBE level of DFT.

Cell lengths 9.3751, 2.9120, 10.6997 Å; angles 90.00, 111.79, 90.00 degrees
With the nearest neighbours (Å) after each atom.
Space group C2/m (No. 12)
Symmetry-distinct sites (fractional):
Ca1 0.0000 0.0000 0.0000  6 C 2.56-2.58
Ca2 0.0000 0.0000 0.5000  2 Ca 2.91, 6 Te 3.17-3.22
Te1 0.1413 0.5000 0.3089  2 Te 2.91, 3 Ca 3.17-3.22
C1 0.2272 0.5000 0.0000  2 C 1.52

## Properties
Its uncorrected formation energy is -0.031 eV per atom. The value obtained for the total energy is -14.5 eV/f.u. The calculation puts the magnetization at 0.0094 μB/atom. The value obtained for the energy above the most stable polymorph in this dataset is 424 meV per atom.

[5]
Computed, not measured: crystalline TlCd2GaP at its relaxed geometry at the GGA-PBE level of DFT.

Cell lengths 5.1064, 5.1064, 5.4822 Å; angles 90.00, 90.00, 90.00 degrees
With the nearest neighbours (Å) after each atom.
Space group P4/mmm (No. 123)
Symmetry-distinct sites (fractional):
Tl1 0.0000 0.0000 0.0000  2 Ga 2.74
Cd1 0.0000 0.5000 0.5000  2 Ga 2.55
Ga1 0.0000 0.0000 0.5000  4 Cd 2.55, 2 Tl 2.74
P1 0.5000 0.5000 0.0000  4 Tl 3.61, 8 Cd 3.75

## Properties
The value obtained for the formation energy is 0.613 eV per atom. The value obtained for the total energy is -9.6 eV/f.u. The calculation puts the magnetization at 0.2863 μB/atom.

[6]
Computed, not measured: crystalline K2TaAs at its relaxed geometry at the GGA-PBE level of DFT.

Cell lengths 6.4042, 6.4042, 2.9109 Å; angles 90.00, 90.00, 90.00 degrees
With the nearest neighbours (Å) after each atom.
Space group P4/mmm (No. 123)
Symmetry-distinct sites (fractional):
K1 0.0000 0.5000 0.0000  2 K 2.91
Ta1 0.0000 0.0000 0.5000  2 Ta 2.91
As1 0.5000 0.5000 0.5000  2 As 2.91

## Properties
The value obtained for the formation energy is 1.177 eV per atom. The value obtained for the total energy is -14.0 eV/f.u. The calculation puts the magnetization at 0.5265 μB/atom.

[7]
Computed, not measured: crystalline Rb4AuCl2 at its relaxed geometry at the GGA-PBE level of DFT.

Cell lengths 10.7887, 10.7887, 10.7993 Å; angles 90.00, 90.00, 90.00 degrees
With the nearest neighbours (Å) after each atom.
Space group I4_1/amd (No. 141, origin choice 2)
Symmetry-distinct sites (fractional):
Rb1 0.0000 0.0644 0.2002  3 Cl 3.31-3.40, 1 Au 3.49
Au1 0.0000 0.2500 0.8750  4 Rb 3.49
Cl1 0.0000 0.0000 0.5000  6 Rb 3.31-3.40

## Properties
Its uncorrected formation energy is -1.121 eV per atom. The value obtained for the total energy is -18.7 eV/f.u. The calculation puts the magnetization at 0.0110 μB/atom. The value obtained for the energy above the most stable polymorph in this dataset is 0 meV per atom.

[8]
Computed, not measured: crystalline YAl2ZnSb at its relaxed geometry at the GGA-PBE level of DFT.

Cell lengths 5.2557, 5.2557, 5.7503 Å; angles 90.00, 90.00, 90.00 degrees
With the nearest neighbours (Å) after each atom.
Space group P4/mmm (No. 123)
Symmetry-distinct sites (fractional):
Y1 0.0000 0.0000 0.0000  2 Sb 2.88
Al1 0.0000 0.5000 0.5000  2 Sb 2.63
Zn1 0.5000 0.5000 0.0000  4 Y 3.72, 8 Al 3.90
Sb1 0.0000 0.0000 0.5000  4 Al 2.63, 2 Y 2.88

## Properties
Its uncorrected formation energy is 0.623 eV per atom. The value obtained for the total energy is -16.2 eV/f.u. The calculation puts the magnetization at 0.0000 μB/atom. The value obtained for the energy above the most stable polymorph in this dataset is 475 meV per atom.

[9]
Computed, not measured: crystalline Na3RhBr at its relaxed geometry at the GGA-PBE level of DFT.

Cell lengths 5.3887, 5.3887, 5.3887 Å; angles 90.00, 90.00, 90.00 degrees
With the nearest neighbours (Å) after each atom.
Space group Pm-3m (No. 221)
Symmetry-distinct sites (fractional):
Na1 0.0000 0.0000 0.5000  2 Br 2.69
Rh1 0.5000 0.5000 0.5000  12 Na 3.81
Br1 0.0000 0.0000 0.0000  6 Na 2.69

## Properties
Its uncorrected formation energy is 0.095 eV per atom. The value obtained for the total energy is -12.5 eV/f.u. The calculation puts the magnetization at 0.2013 μB/atom. The value obtained for the energy above the most stable polymorph in this dataset is 0 meV per atom.

[10]
Computed, not measured: crystalline BaTiCdSb2 at its relaxed geometry at the GGA-PBE level of DFT.

Cell lengths 5.3624, 5.3624, 5.4070 Å; angles 90.00, 90.00, 90.00 degrees
With the nearest neighbours (Å) after each atom.
Space group P4/mmm (No. 123)
Symmetry-distinct sites (fractional):
Ba1 0.0000 0.0000 0.0000  4 Cd 3.79, 8 Sb 3.81
Ti1 0.5000 0.5000 0.5000  4 Sb 2.68, 2 Cd 2.70
Cd1 0.5000 0.5000 0.0000  2 Ti 2.70
Sb1 0.0000 0.5000 0.5000  2 Ti 2.68

## Properties
Its uncorrected formation energy is -0.419 eV per atom. The value obtained for the total energy is -21.1 eV/f.u. The calculation puts the magnetization at 0.0000 μB/atom.

[11]
Computed, not measured: crystalline SrHf2I2 at its relaxed geometry at the GGA-PBE level of DFT.

Cell lengths 8.8614, 8.8614, 3.5326 Å; angles 90.00, 90.00, 90.00 degrees
With the nearest neighbours (Å) after each atom.
Space group P4/mbm (No. 127)
Symmetry-distinct sites (fractional):
Sr1 0.0000 0.0000 0.0000  4 I 3.33, 2 Sr 3.53
Hf1 0.1197 0.3803 0.5000  1 Hf 3.00, 6 I 3.06-3.28
I1 0.1599 0.6599 0.0000  6 Hf 3.06-3.28, 2 Sr 3.33

## Properties
Its uncorrected formation energy is 0.307 eV per atom. The value obtained for the total energy is -23.2 eV/f.u. The calculation puts the magnetization at 0.0000 μB/atom. The value obtained for the energy above the most stable polymorph in this dataset is 398 meV per atom.

[12]
Computed, not measured: crystalline ZnCd3H at its relaxed geometry at the GGA-PBE level of DFT.

Cell lengths 4.4969, 4.4969, 4.4969 Å; angles 90.00, 90.00, 90.00 degrees
With the nearest neighbours (Å) after each atom.
Space group Pm-3m (No. 221)
Symmetry-distinct sites (fractional):
Zn1 0.0000 0.0000 0.0000  12 Cd 3.18
Cd1 0.0000 0.5000 0.5000  2 H 2.25
H1 0.5000 0.5000 0.5000  6 Cd 2.25

## Properties
The value obtained for the total energy is -5.7 eV/f.u. The calculation puts the magnetization at 0.0000 μB/atom.

[13]
Computed, not measured: crystalline TmSnIrRu at its relaxed geometry at the GGA-PBE level of DFT.

Cell lengths 6.5760, 6.5760, 6.5760 Å; angles 90.00, 90.00, 90.00 degrees
With the nearest neighbours (Å) after each atom.
Space group F-43m (No. 216)
Symmetry-distinct sites (fractional):
Tm1 0.0000 0.0000 0.0000  4 Ru 2.85, 4 Ir 2.85
Sn1 0.0000 0.0000 0.5000  4 Ir 2.85, 4 Ru 2.85
Ir1 0.2500 0.2500 0.7500  4 Sn 2.85, 4 Tm 2.85
Ru1 0.2500 0.2500 0.2500  4 Sn 2.85, 4 Tm 2.85

## Properties
The value obtained for the formation energy is -0.565 eV per atom. The value obtained for the total energy is -28.9 eV/f.u. The calculation puts the magnetization at 0.0000 μB/atom.